# 1
# KEuFe4O12

A relaxed structure of KEuFe4O12 (PBE with a Hubbard U, the Alexandria database).

abc: 5.421 5.421 7.661
angles: 90.00 90.00 90.00
Space group P4/mmm (No. 123)
Symmetry-distinct sites (fractional):
K1 0.000 0.000 0.000 [1 per cell]
Eu1 0.500 0.500 0.500 [1 per cell]
Fe1 0.000 0.500 0.246 [4 per cell]
O1 0.000 0.500 0.000 [2 per cell]
O2 0.000 0.500 0.500 [2 per cell]
O3 0.261 0.261 0.267 [8 per cell]

Values from the calculation:
Total magnetic moment ... 1.3623 μB/atom
Electronic total energy ... -6.144 eV per atom

---

# 2
# KEuZrFeO6

A relaxed structure of KEuZrFeO6 (PBE with a Hubbard U, the Alexandria database).

abc: 8.054 8.054 8.054
angles: 90.00 90.00 90.00
Space group F-43m (No. 216)
Symmetry-distinct sites (fractional):
K1 0.000 0.000 0.000 [4 per cell]
Eu1 0.000 0.000 0.500 [4 per cell]
Zr1 0.250 0.250 0.250 [4 per cell]
Fe1 0.250 0.250 0.750 [4 per cell]
O1 0.008 0.250 0.750 [24 per cell]

Values from the calculation:
Total magnetic moment ... 0.9999 μB/atom
Electronic total energy ... -7.696 eV per atom